This record from the Alexandria database describes a geometry-optimized Sr2Ac6CoRh structure. The functional is GGA-PBE.

abc: 8.351 8.351 8.351
angles: 120.00 119.94 90.06
Sites, in units of the cell vectors:
Sr 0.250 0.250 0.000
Sr 0.750 0.750 0.000
Ac 0.254 0.754 0.500
Ac 0.255 0.246 0.501
Ac 0.255 0.754 0.008
Ac 0.745 0.246 0.992
Ac 0.745 0.754 0.499
Ac 0.746 0.246 0.500
Co 0.500 0.000 0.500
Rh 0.000 0.500 0.500

final energy = -43.9 eV per cell
formation enthalpy at 0 K = -146 meV/atom

This record from the Alexandria database describes a geometry-optimized PaGaOsRh structure. The functional is GGA-PBE.

abc: 4.659 4.659 4.659
angles: 60.00 60.00 60.00
Sites, in units of the cell vectors:
Pa 0.000 0.000 0.000
Ga 0.500 0.500 0.500
Os 0.250 0.250 0.250
Rh 0.750 0.750 0.750

final energy = -32.7 eV per cell
formation enthalpy at 0 K = -399 meV/atom

This record from the Alexandria database describes a geometry-optimized Mg2C structure. The functional is GGA-PBE.

abc: 6.282 6.282 3.124
angles: 90.00 90.00 134.62
Sites, in units of the cell vectors:
Mg 0.000 0.000 0.000
Mg 0.208 0.792 0.500
Mg 0.500 0.500 0.500
Mg 0.792 0.208 0.500
C 0.353 0.647 0.000
C 0.647 0.353 0.000

final energy = -19.3 eV per cell
energy above the most stable polymorph in this dataset = 0.675 eV/atom
formation enthalpy at 0 K = 924 meV/atom

This record from the Alexandria database describes a geometry-optimized BaSi2Br structure. The functional is GGA-PBE.

abc: 4.240 4.240 6.571
angles: 90.00 90.00 90.00
Sites, in units of the cell vectors:
Ba 0.000 0.000 0.000
Si 0.000 0.500 0.500
Si 0.500 0.000 0.500
Br 0.500 0.500 0.000

raw formation energy = -65 meV/atom
final energy = -14.7 eV per cell
energy above the most stable polymorph in this dataset = 0.523 eV/atom

This record from the Alexandria database describes a geometry-optimized K3Pr2ErTe6 structure. The functional is GGA-PBE.

abc: 7.950 7.950 8.671
angles: 98.80 98.80 120.01
Sites, in units of the cell vectors:
K 0.000 0.000 0.000
K 0.330 0.670 0.000
K 0.670 0.330 0.000
Pr 0.166 0.834 0.500
Pr 0.834 0.166 0.500
Er 0.500 0.500 0.500
Te 0.107 0.429 0.287
Te 0.249 0.249 0.713
Te 0.429 0.107 0.287
Te 0.571 0.893 0.713
Te 0.751 0.751 0.287
Te 0.893 0.571 0.713

raw formation energy = -1404 meV/atom
final energy = -53.1 eV per cell

This record from the Alexandria database describes a geometry-optimized SmPuHgO6 structure. The functional is GGA-PBE.

abc: 5.661 5.661 10.050
angles: 90.00 90.00 120.00
Sites, in units of the cell vectors:
Sm 0.000 0.000 0.000
Sm 0.000 0.000 0.500
Pu 0.333 0.667 0.250
Pu 0.667 0.333 0.750
Hg 0.333 0.667 0.750
Hg 0.667 0.333 0.250
O 0.050 0.367 0.133
O 0.050 0.683 0.367
O 0.317 0.367 0.367
O 0.317 0.950 0.133
O 0.367 0.050 0.633
O 0.367 0.317 0.867
O 0.633 0.683 0.133
O 0.633 0.950 0.367
O 0.683 0.050 0.867
O 0.683 0.633 0.633
O 0.950 0.317 0.633
O 0.950 0.633 0.867

raw formation energy = -2105 meV/atom
final energy = -136.1 eV per cell

This record from the Alexandria database describes a geometry-optimized CsLaMg2 structure. The functional is GGA-PBE.

abc: 6.035 6.035 6.035
angles: 60.00 60.00 60.00
Sites, in units of the cell vectors:
Cs 0.000 0.000 0.000
La 0.500 0.500 0.500
Mg 0.250 0.250 0.250
Mg 0.750 0.750 0.750

final energy = -7.5 eV per cell
energy above the most stable polymorph in this dataset = 0.000 eV/atom
formation enthalpy at 0 K = 370 meV/atom

This record from the Alexandria database describes a geometry-optimized Ba7Cu3H17 structure. The functional is GGA-PBE.

abc: 11.828 11.828 7.516
angles: 90.00 90.00 120.00
Sites, in units of the cell vectors:
Ba 0.104 0.544 0.000
Ba 0.121 0.270 0.355
Ba 0.149 0.879 0.355
Ba 0.270 0.121 0.855
Ba 0.333 0.667 0.518
Ba 0.440 0.896 0.000
Ba 0.456 0.560 0.000
Ba 0.544 0.104 0.500
Ba 0.560 0.456 0.500
Ba 0.667 0.333 0.018
Ba 0.730 0.851 0.355
Ba 0.851 0.730 0.855
Ba 0.879 0.149 0.855
Ba 0.896 0.440 0.500
Cu 0.159 0.817 0.768
Cu 0.183 0.342 0.768
Cu 0.342 0.183 0.268
Cu 0.658 0.841 0.768
Cu 0.817 0.159 0.268
Cu 0.841 0.658 0.268
H 0.074 0.669 0.686
H 0.085 0.899 0.704
H 0.098 0.402 0.679
H 0.101 0.186 0.704
H 0.124 0.496 0.341
H 0.172 0.822 0.987
H 0.178 0.350 0.987
H 0.186 0.101 0.204
H 0.305 0.902 0.679
H 0.331 0.405 0.686
H 0.333 0.667 0.162
H 0.333 0.667 0.852
H 0.350 0.178 0.487
H 0.371 0.876 0.341
H 0.402 0.098 0.179
H 0.405 0.331 0.186
H 0.496 0.124 0.841
H 0.504 0.629 0.341
H 0.595 0.926 0.686
H 0.598 0.695 0.679
H 0.629 0.504 0.841
H 0.650 0.828 0.987
H 0.667 0.333 0.352
H 0.667 0.333 0.662
H 0.669 0.074 0.186
H 0.695 0.598 0.179
H 0.814 0.915 0.704
H 0.822 0.172 0.487
H 0.828 0.650 0.487
H 0.876 0.371 0.841
H 0.899 0.085 0.204
H 0.902 0.305 0.179
H 0.915 0.814 0.204
H 0.926 0.595 0.186

final energy = -188.3 eV per cell